[1]
Computed, not measured: an optimized crystal structure of MgCr2RuBr at the GGA-PBE level of DFT.

**Formation energy (no corrections)**: 1.3639 eV/atom
**Calculated density**: 5003 kg/m3
**Symmetry**: P4/mmm (123)

Structure (POSCAR):
```
MgCr2RuBr
1.0
-0.0409 4.4035 -1.3566
-2.9505 1.1024 3.6674
3.6499 0.8590 2.6782
Ru Mg Br Cr
1 1 1 2
Direct
0.5000 0.5000 0.5000 Ru
0.0000 0.5000 0.0000 Mg
0.0000 0.0000 0.0000 Br
0.0000 0.0000 0.5000 Cr
0.5000 0.0000 0.0000 Cr
```

***

[2]
Computed, not measured: an optimized crystal structure of Na3MnPd at the GGA-PBE level of DFT.

**Calculated density**: 2434 kg/m3
**ΔE_f**: 3.04 eV per formula unit
**Relative energy among the computed polymorphs**: 0.000 eV/atom
**Symmetry**: Pm-3m (221)

Structure (POSCAR):
```
Na3MnPd
1.0
5.3963 0.0000 0.0000
0.0000 5.3963 0.0000
0.0000 0.0000 5.3963
Na Mn Pd
3 1 1
Direct
0.0000 0.5000 0.0000 Na
0.0000 0.0000 0.5000 Na
0.5000 0.0000 0.0000 Na
0.5000 0.5000 0.5000 Mn
0.0000 0.0000 0.0000 Pd
```

***

[3]
Computed, not measured: an optimized crystal structure of Rb3Sn4Pd at the GGA-PBE level of DFT.

**Calculated density**: 4398 kg/m3
**ΔE_f**: -2.41 eV per formula unit
**Symmetry**: Pmmn (59)

Structure (POSCAR):
```
Rb3Sn4Pd
1.0
-5.3969 -2.9259 -1.1882
2.4849 -1.8746 -6.6707
5.1627 -11.6311 5.1917
Pd Sn Rb
2 8 6
Direct
0.6804 0.5000 0.0000 Pd
0.3196 0.0000 0.5000 Pd
0.3386 0.5000 0.8806 Sn
0.3386 0.5000 0.1194 Sn
0.0348 0.2824 0.0000 Sn
0.0348 0.7176 0.0000 Sn
0.9652 0.7824 0.5000 Sn
0.9652 0.2176 0.5000 Sn
0.6614 0.0000 0.3806 Sn
0.6614 0.0000 0.6194 Sn
0.5467 0.0000 0.0000 Rb
0.4533 0.5000 0.5000 Rb
0.8351 0.5000 0.7381 Rb
0.8351 0.5000 0.2619 Rb
0.1649 0.0000 0.7619 Rb
0.1649 0.0000 0.2381 Rb
```

***

[4]
Computed, not measured: an optimized crystal structure of KNa12Cd6 at the GGA-PBE level of DFT.

**Calculated density**: 2762 kg/m3
**ΔE_f**: -0.36 eV per formula unit
**Relative energy among the computed polymorphs**: 0.000 eV/atom
**Symmetry**: R-3 (148)

Structure (POSCAR):
```
KNa12Cd6
1.0
-0.5702 -6.0576 5.8101
-4.3828 -4.9128 -5.2376
7.0372 -3.6569 -2.8075
K Na Cd
1 12 6
Direct
0.0000 0.0000 0.0000 K
0.4752 0.1938 0.5812 Na
0.1938 0.5812 0.4752 Na
0.5812 0.4752 0.1938 Na
0.5248 0.8062 0.4188 Na
0.8062 0.4188 0.5248 Na
0.4188 0.5248 0.8062 Na
0.8397 0.9715 0.6088 Na
0.3912 0.1603 0.0285 Na
0.0285 0.3912 0.1603 Na
0.1603 0.0285 0.3912 Na
0.6088 0.8397 0.9715 Na
0.9715 0.6088 0.8397 Na
0.1151 0.2646 0.7175 Cd
0.7354 0.2825 0.8849 Cd
0.2825 0.8849 0.7354 Cd
0.8849 0.7354 0.2825 Cd
0.2646 0.7175 0.1151 Cd
0.7175 0.1151 0.2646 Cd
```

***

[5]
Computed, not measured: an optimized crystal structure of Y2ThIn6 at the GGA-PBE level of DFT.

**Calculated density**: 7158 kg/m3
**ΔE_f**: -2.12 eV per formula unit
**Symmetry**: Immm (71)

Structure (POSCAR):
```
Y2ThIn6
1.0
-0.2806 3.7696 2.5227
-1.8159 -2.7333 7.9755
5.4680 -1.2392 6.5530
Y Th In
2 1 6
Direct
0.8791 0.6209 0.6209 Y
0.1209 0.3791 0.3791 Y
0.0000 0.0000 0.0000 Th
0.6877 0.0068 0.6178 In
0.3123 0.9932 0.3822 In
0.3123 0.3822 0.9932 In
0.5000 0.6922 0.3078 In
0.5000 0.3078 0.6922 In
0.6877 0.6178 0.0068 In
```

***

[6]
Computed, not measured: an optimized crystal structure of In2PtPbI at the GGA-PBE level of DFT.

**Formation energy (no corrections)**: -0.3035 eV/atom
**Calculated density**: 8098 kg/m3
**Symmetry**: P4/mmm (123)

Structure (POSCAR):
```
In2PtPbI
1.0
5.2795 0.0000 0.0000
0.0000 5.2795 0.0000
0.0000 0.0000 5.5825
Pb I Pt In
1 1 1 2
Direct
0.0000 0.0000 0.5000 Pb
0.5000 0.5000 0.5000 I
0.0000 0.0000 0.0000 Pt
0.0000 0.5000 0.0000 In
0.5000 0.0000 0.0000 In
```

***

[7]
Computed, not measured: an optimized crystal structure of CeErScHg at the GGA-PBE level of DFT.

**Calculated density**: 9409 kg/m3
**ΔE_f**: 0.00 eV per formula unit
**Symmetry**: F-43m (216)

Structure (POSCAR):
```
CeErScHg
1.0
-0.4444 -4.9048 -1.5651
4.0940 -2.4661 -1.9651
2.2708 -3.7853 2.6868
Sc Hg Ce Er
1 1 1 1
Direct
0.7500 0.7500 0.7500 Sc
0.0000 0.0000 0.0000 Hg
0.5000 0.5000 0.5000 Ce
0.2500 0.2500 0.2500 Er
```

***

[8]
Computed, not measured: an optimized crystal structure of TlIn2Re at the GGA-PBE level of DFT.

**Calculated density**: 12157 kg/m3
**ΔE_f**: 2.79 eV per formula unit
**Relative energy among the computed polymorphs**: 0.244 eV/atom
**Symmetry**: P4mm (99)

Structure (POSCAR):
```
TlIn2Re
1.0
3.7506 0.0000 0.0000
0.0000 3.7506 0.0000
0.0000 0.0000 6.0227
In Re Tl
2 1 1
Direct
0.0000 0.0000 0.0011 In
0.5000 0.5000 0.2740 In
0.0000 0.0000 0.4817 Re
0.5000 0.5000 0.7431 Tl
```

***

[9]
Computed, not measured: an optimized crystal structure of Pm2Tm3ThSe6 at the GGA-PBE level of DFT.

**Formation energy (no corrections)**: -1.6972 eV/atom
**Calculated density**: 8460 kg/m3
**Symmetry**: C2/m (12)

Structure (POSCAR):
```
Pm2Tm3ThSe6
1.0
-1.4402 3.6788 0.8567
-1.3179 -2.3597 7.9175
9.1544 1.5300 -0.7186
Pm Tm Th Se
2 3 1 6
Direct
0.8377 0.6751 0.6754 Pm
0.1623 0.3249 0.3246 Pm
0.5000 0.5000 0.0000 Tm
0.8341 0.1671 0.6682 Tm
0.1659 0.8329 0.3318 Tm
0.5000 0.0000 0.0000 Th
0.3280 0.9283 0.6560 Se
0.6647 0.5916 0.3294 Se
0.6720 0.0717 0.3440 Se
0.9947 0.2620 0.9893 Se
0.0053 0.7380 0.0107 Se
0.3353 0.4084 0.6706 Se
```

***

[10]
Computed, not measured: an optimized crystal structure of BaSrTc at the GGA-PBE level of DFT.

**Calculated density**: 4856 kg/m3
**ΔE_f**: 2.97 eV per formula unit
**Relative energy among the computed polymorphs**: 0.180 eV/atom
**Symmetry**: F-43m (216)

Structure (POSCAR):
```
BaSrTc
1.0
-0.2091 -4.9704 -2.0624
4.1729 -1.9292 -2.8048
3.0654 -3.9092 2.0794
Ba Sr Tc
1 1 1
Direct
0.0000 0.0000 0.0000 Ba
0.5000 0.5000 0.5000 Sr
0.7500 0.7500 0.7500 Tc
```

***

[11]
Computed, not measured: an optimized crystal structure of Mg2SiO at the GGA-PBE level of DFT.

**Formation energy (no corrections)**: -0.9711 eV/atom
**Calculated density**: 2187 kg/m3
**Relative energy among the computed polymorphs**: 0.000 eV/atom
**Symmetry**: I-42d (122)

Structure (POSCAR):
```
Mg2SiO
1.0
5.9036 0.0000 0.0000
0.0000 5.9036 0.0000
2.9518 2.9518 4.0387
Si Mg O
2 4 2
Direct
0.0000 0.0000 0.0000 Si
0.7500 0.2500 0.5000 Si
0.5168 0.1250 0.2500 Mg
0.2332 0.6250 0.2500 Mg
0.3750 0.4832 0.7500 Mg
0.8750 0.7668 0.7500 Mg
0.5000 0.5000 0.0000 O
0.2500 0.7500 0.5000 O
```

***

[12]
Computed, not measured: an optimized crystal structure of Na3SrS at the GGA-PBE level of DFT.

**Formation energy (no corrections)**: 0.7913 eV/atom
**Calculated density**: 1164 kg/m3
**Relative energy among the computed polymorphs**: 1.152 eV/atom
**Symmetry**: Pm-3m (221)

Structure (POSCAR):
```
Na3SrS
1.0
-0.4281 -5.8617 2.6709
4.7332 1.5294 4.1151
-4.3692 2.2312 4.1963
Sr S Na
1 1 3
Direct
0.0000 0.0000 0.0000 Sr
0.5000 0.5000 0.5000 S
0.0000 0.5000 0.0000 Na
0.0000 0.0000 0.5000 Na
0.5000 0.0000 0.0000 Na
```

***

[13]
Computed, not measured: an optimized crystal structure of CaHg2Se2 at the GGA-PBE level of DFT.

**Formation energy (no corrections)**: -0.6679 eV/atom
**Calculated density**: 7208 kg/m3
**Relative energy among the computed polymorphs**: 0.000 eV/atom
**Symmetry**: I4/mmm (139)

Structure (POSCAR):
```
CaHg2Se2
1.0
4.0770 0.0000 0.0000
0.0000 4.0770 0.0000
2.0385 2.0385 8.3041
Ca Hg Se
1 2 2
Direct
0.0000 0.0000 0.0000 Ca
0.7500 0.2500 0.5000 Hg
0.2500 0.7500 0.5000 Hg
0.4236 0.4236 0.1528 Se
0.5764 0.5764 0.8472 Se
```

***

[14]
Computed, not measured: an optimized crystal structure of Hf2NbCo at the GGA-PBE level of DFT.

**Calculated density**: 11825 kg/m3
**ΔE_f**: -0.68 eV per formula unit
**Relative energy among the computed polymorphs**: 0.000 eV/atom
**Symmetry**: P4/mmm (123)

Structure (POSCAR):
```
Hf2NbCo
1.0
3.1958 0.0000 0.0000
0.0000 3.1958 0.0000
0.0000 0.0000 6.9959
Co Nb Hf
1 1 2
Direct
0.5000 0.5000 0.0000 Co
0.5000 0.5000 0.5000 Nb
0.0000 0.0000 0.7781 Hf
0.0000 0.0000 0.2219 Hf
```

***

[15]
Computed, not measured: an optimized crystal structure of ZrSeO at the GGA-PBE level of DFT.

**Formation energy (no corrections)**: -2.1646 eV/atom
**Calculated density**: 4087 kg/m3
**Relative energy among the computed polymorphs**: 0.142 eV/atom
**Symmetry**: C2/m (12)

Structure (POSCAR):
```
ZrSeO
1.0
3.4426 0.0000 0.0000
0.0000 6.0470 0.0895
-1.7213 -0.6362 7.2576
Zr Se O
2 2 2
Direct
0.0000 0.5000 0.0000 Zr
0.5000 0.0000 0.0000 Zr
0.3738 0.6401 0.7475 Se
0.6262 0.3599 0.2525 Se
0.0544 0.8355 0.1088 O
0.9456 0.1645 0.8912 O
```

***

[16]
Computed, not measured: an optimized crystal structure of Li3TaGe at the GGA-PBE level of DFT.

**Calculated density**: 5242 kg/m3
**ΔE_f**: 4.38 eV per formula unit
**Relative energy among the computed polymorphs**: 0.000 eV/atom
**Symmetry**: Pm-3m (221)

Structure (POSCAR):
```
Li3TaGe
1.0
-4.1954 -0.2588 -1.3978
-0.7651 -3.2601 2.8998
-1.1982 2.9878 3.0429
Ge Li Ta
1 3 1
Direct
0.0000 0.0000 0.0000 Ge
0.0000 0.5000 0.0000 Li
0.0000 0.0000 0.5000 Li
0.5000 0.0000 0.0000 Li
0.5000 0.5000 0.5000 Ta
```

***

[17]
Computed, not measured: an optimized crystal structure of LaYAlCd at the GGA-PBE level of DFT.

**Calculated density**: 5606 kg/m3
**ΔE_f**: -1.40 eV per formula unit
**Relative energy among the computed polymorphs**: 0.025 eV/atom
**Symmetry**: F-43m (216)

Structure (POSCAR):
```
LaYAlCd
1.0
5.3581 0.0000 0.0000
2.6790 4.6402 0.0000
2.6790 1.5467 4.3748
Y Cd Al La
1 1 1 1
Direct
0.7500 0.7500 0.7500 Y
0.5000 0.5000 0.5000 Cd
0.0000 0.0000 0.0000 Al
0.2500 0.2500 0.2500 La
```

***

[18]
Computed, not measured: an optimized crystal structure of La5SmS6 at the GGA-PBE level of DFT.

**Formation energy (no corrections)**: -2.1464 eV/atom
**Calculated density**: 5758 kg/m3
**Symmetry**: C2/m (12)

Structure (POSCAR):
```
La5SmS6
1.0
-5.7784 3.2993 2.6299
-4.4930 -4.8430 2.7476
0.5595 -1.8989 6.8835
S Sm La
6 1 5
Direct
0.7543 0.0817 0.3278 S
0.2457 0.5905 0.3278 S
0.2475 0.2450 0.0000 S
0.7525 0.7550 0.0000 S
0.7543 0.4095 0.6722 S
0.2457 0.9183 0.6722 S
0.0000 0.0000 0.0000 Sm
0.5000 0.1680 0.6639 La
0.0000 0.3337 0.3326 La
0.5000 0.5000 0.0000 La
0.0000 0.6663 0.6674 La
0.5000 0.8320 0.3361 La
```

***

[19]
Computed, not measured: an optimized crystal structure of Ba2NdPbS5 at the GGA-PBE level of DFT.

**Formation energy (no corrections)**: -1.5632 eV/atom
**Calculated density**: 5056 kg/m3
**Symmetry**: Cmc2_1 (36)

Structure (POSCAR):
```
Ba2NdPbS5
1.0
4.3358 0.0000 0.0000
-2.1679 9.0541 0.0000
0.0000 0.0000 13.1580
Ba Nd Pb S
4 2 2 10
Direct
0.8614 0.7227 0.8045 Ba
0.1125 0.2249 0.6867 Ba
0.1386 0.2773 0.3045 Ba
0.8875 0.7751 0.1867 Ba
0.7870 0.5739 0.5134 Nd
0.2130 0.4261 0.0134 Nd
0.5304 0.0607 0.9568 Pb
0.4696 0.9393 0.4568 Pb
0.3657 0.7314 0.9984 S
0.6814 0.3627 0.8729 S
0.4907 0.9815 0.7645 S
0.2845 0.5689 0.6543 S
0.9457 0.8914 0.5725 S
0.6343 0.2686 0.4984 S
0.3186 0.6373 0.3729 S
0.5093 0.0185 0.2645 S
0.7155 0.4311 0.1543 S
0.0543 0.1086 0.0725 S
```

***

[20]
Computed, not measured: an optimized crystal structure of Sr2YAu at the GGA-PBE level of DFT.

**Calculated density**: 5241 kg/m3
**ΔE_f**: -1.44 eV per formula unit
**Relative energy among the computed polymorphs**: 0.000 eV/atom
**Symmetry**: P4mm (99)

Structure (POSCAR):
```
Sr2YAu
1.0
3.8163 0.0000 0.0000
0.0000 3.8163 0.0000
0.0000 0.0000 10.0305
Au Sr Y
1 2 1
Direct
0.5000 0.5000 0.7128 Au
0.0000 0.0000 0.9295 Sr
0.5000 0.5000 0.2804 Sr
0.0000 0.0000 0.5773 Y
```

***

[21]
Computed, not measured: an optimized crystal structure of Be4CdSe at the GGA-PBE level of DFT.

**Formation energy (no corrections)**: 0.4988 eV/atom
**Calculated density**: 4918 kg/m3
**Symmetry**: F-43m (216)

Structure (POSCAR):
```
Be4CdSe
1.0
4.1402 -0.5115 -2.3151
2.7894 -3.7636 0.9039
0.4967 -3.4407 -3.2676
Be Cd Se
4 1 1
Direct
0.6242 0.6242 0.1274 Be
0.6242 0.1274 0.6242 Be
0.6242 0.6242 0.6242 Be
0.1274 0.6242 0.6242 Be
0.2500 0.2500 0.2500 Cd
0.0000 0.0000 0.0000 Se
```

***

[22]
Computed, not measured: an optimized crystal structure of Ac2Ag3Sn5 at the GGA-PBE level of DFT.

**Calculated density**: 8381 kg/m3
**ΔE_f**: -3.80 eV per formula unit
**Symmetry**: Ibam (72)

Structure (POSCAR):
```
Ac2Ag3Sn5
1.0
-6.1895 1.3938 2.7692
-1.9694 -5.9632 7.2520
0.8971 4.9705 8.1560
Ac Ag Sn
4 6 10
Direct
0.1251 0.6165 0.1332 Ac
0.6251 0.1332 0.6165 Ac
0.8749 0.3835 0.8668 Ac
0.3749 0.8668 0.3835 Ac
0.3662 0.5145 0.7531 Ag
0.8662 0.7531 0.5145 Ag
0.6338 0.4855 0.2469 Ag
0.1338 0.2469 0.4855 Ag
0.2500 0.0000 0.0000 Ag
0.7500 0.0000 0.0000 Ag
0.3918 0.2544 0.9620 Sn
0.8918 0.9620 0.2544 Sn
0.6082 0.7456 0.0380 Sn
0.1082 0.0380 0.7456 Sn
0.4891 0.7609 0.7609 Sn
0.5109 0.2391 0.2391 Sn
0.7500 0.5000 0.5000 Sn
0.2500 0.5000 0.5000 Sn
0.0109 0.2391 0.2391 Sn
0.9891 0.7609 0.7609 Sn
```

***

[23]
Computed, not measured: an optimized crystal structure of Pu2GaSi3Pt4 at the GGA-PBE level of DFT.

**Formation energy (no corrections)**: -0.8687 eV/atom
**Calculated density**: 13131 kg/m3
**Symmetry**: P-4m2 (115)

Structure (POSCAR):
```
Pu2GaSi3Pt4
1.0
-1.3331 3.8872 -0.9650
-1.5575 0.4339 3.8993
8.8238 3.7960 3.1021
Pu Ga Si Pt
2 1 3 4
Direct
0.5000 0.0000 0.2528 Pu
0.0000 0.5000 0.7472 Pu
0.5000 0.5000 0.5000 Ga
0.0000 0.0000 0.5000 Si
0.5000 0.0000 0.8694 Si
0.0000 0.5000 0.1306 Si
0.5000 0.5000 0.0000 Pt
0.0000 0.0000 0.0000 Pt
0.5000 0.0000 0.6338 Pt
0.0000 0.5000 0.3662 Pt
```

***

[24]
Computed, not measured: an optimized crystal structure of Cs2Ru2S at the GGA-PBE level of DFT.

**Formation energy (no corrections)**: 0.7599 eV/atom
**Calculated density**: 4724 kg/m3
**Relative energy among the computed polymorphs**: 0.173 eV/atom
**Symmetry**: I4/mmm (139)

Structure (POSCAR):
```
Cs2Ru2S
1.0
-1.2774 -6.3829 2.8605
-0.6104 -2.7950 -6.5094
2.4629 -5.2808 -1.8468
Cs Ru S
2 2 1
Direct
0.7500 0.2500 0.5000 Cs
0.2500 0.7500 0.5000 Cs
0.3377 0.3377 0.3246 Ru
0.6623 0.6623 0.6754 Ru
0.0000 0.0000 0.0000 S
```